Density functional theory data (PBE-GGA) for an optimized crystal structure of TlHgB.

Cell: 4.9868 4.1797 6.7788 Å, 90.00 93.87 90.00°
Last column: nearest neighbours and their distance in Å.
Fractional coordinates of all 6 atoms:
Tl1 0.0000 0.0000 0.0000  2 B 2.36
Tl2 0.0000 0.0000 0.5000  2 Tl 3.39, 4 B 3.57-3.62, 8 Hg 3.63-3.66
Hg1 0.4828 0.5000 0.2570  2 B 2.30
Hg2 0.5172 0.5000 0.7430  2 B 2.30
B1 0.4568 0.0000 0.1168  1 B 1.67
B2 0.5432 0.0000 0.8832  1 B 1.67

Values from the calculation:
total magnetic moment: 0.0 μB/f.u.
ΔH_f (0 K): 0.60 eV per atom
symmetry: P2/m

***

Density functional theory data (PBE-GGA) for an optimized crystal structure of LiLaCu2.

Cell: 6.9397 6.9161 3.3508 Å, 90.00 90.14 90.00°
Last column: nearest neighbours and their distance in Å.
Fractional coordinates of all 8 atoms:
Li1 0.0000 0.0000 0.0000  8 Cu 2.97
Li2 0.5000 0.5000 0.0000  8 Cu 2.97
La1 0.0000 0.5000 0.0000  8 Cu 2.97
La2 0.5000 0.0000 0.0000  8 Cu 2.97
Cu1 0.2500 0.2500 0.5000  4 La 2.97, 4 Li 2.97
Cu2 0.2500 0.7500 0.5000  4 La 2.97, 4 Li 2.97
Cu3 0.7500 0.2500 0.5000  4 La 2.97, 4 Li 2.97
Cu4 0.7500 0.7500 0.5000  4 La 2.97, 4 Li 2.97

Values from the calculation:
total magnetic moment: 0.0 μB/f.u.
ΔH_f (0 K): 0.04 eV per atom
symmetry: C2/m

***

Density functional theory data (PBE-GGA) for an optimized crystal structure of Tb3Y2PuS6.

Cell: 8.7838 8.7838 7.8827 Å, 102.97 102.97 25.74°
Last column: nearest neighbours and their distance in Å.
Fractional coordinates of all 12 atoms:
Tb1 0.0000 0.0000 0.0000  6 S 2.77-2.80
Tb2 0.3345 0.3345 0.6643  6 S 2.76-2.80
Tb3 0.6655 0.6655 0.3357  6 S 2.76-2.80
Y1 0.3359 0.3359 0.1713  6 S 2.74-2.80
Y2 0.6641 0.6641 0.8287  6 S 2.74-2.80
Pu1 0.0000 0.0000 0.5000  6 S 2.79-2.80
S1 0.1680 0.1680 0.0828  3 Y 2.79-2.80, 3 Tb 2.80
S2 0.1679 0.1679 0.5849  2 Y 2.75, 3 Tb 2.77-2.78, 1 Pu 2.80
S3 0.5001 0.5001 0.2484  1 Y 2.74, 3 Tb 2.76-2.77, 2 Pu 2.79
S4 0.4999 0.4999 0.7516  1 Y 2.74, 3 Tb 2.76-2.77, 2 Pu 2.79
S5 0.8321 0.8321 0.4151  2 Y 2.75, 3 Tb 2.77-2.78, 1 Pu 2.80
S6 0.8320 0.8320 0.9172  3 Y 2.79-2.80, 3 Tb 2.80

Values from the calculation:
total magnetic moment: 5.9 μB/f.u.
symmetry: C2/m
uncorrected formation energy: -1.988 eV/atom

***

Density functional theory data (PBE-GGA) for an optimized crystal structure of BaLa2MgRe.

Cell: 5.8504 5.8504 4.9596 Å, 90.00 90.00 90.00°
Last column: nearest neighbours and their distance in Å.
Fractional coordinates of all 5 atoms:
Ba1 0.0000 0.0000 0.0000  8 La 3.83, 4 Re 4.14
La1 0.0000 0.5000 0.5000  2 Mg 2.93
La2 0.5000 0.0000 0.5000  2 Mg 2.93
Mg1 0.5000 0.5000 0.5000  2 Re 2.48
Re1 0.5000 0.5000 0.0000  2 Mg 2.48

Values from the calculation:
total magnetic moment: 0.2 μB/f.u.
ΔH_f (0 K): 1.01 eV per atom
symmetry: P4/mmm

***

Density functional theory data (PBE-GGA) for an optimized crystal structure of Ba5Ta.

Cell: 5.9477 16.3208 6.0401 Å, 90.00 90.00 90.00°
Last column: nearest neighbours and their distance in Å.
Fractional coordinates of all 12 atoms:
Ba1 0.0000 0.0000 0.0000  8 Ba 3.83-3.84, 4 Ta 4.24
Ba2 0.0000 0.1453 0.5000  2 Ta 3.80, 6 Ba 3.84-4.24
Ba3 0.0000 0.3518 0.0000  6 Ba 3.83-4.24, 2 Ta 3.87
Ba4 0.0000 0.6482 0.0000  6 Ba 3.83-4.24, 2 Ta 3.87
Ba5 0.0000 0.8547 0.5000  2 Ta 3.80, 6 Ba 3.84-4.24
Ba6 0.5000 0.1482 0.0000  6 Ba 3.83-4.24, 2 Ta 3.87
Ba7 0.5000 0.3547 0.5000  2 Ta 3.80, 6 Ba 3.84-4.24
Ba8 0.5000 0.5000 0.0000  8 Ba 3.83-3.84, 4 Ta 4.24
Ba9 0.5000 0.6453 0.5000  2 Ta 3.80, 6 Ba 3.84-4.24
Ba10 0.5000 0.8518 0.0000  6 Ba 3.83-4.24, 2 Ta 3.87
Ta1 0.0000 0.5000 0.5000  12 Ba 3.80-4.24
Ta2 0.5000 0.0000 0.5000  12 Ba 3.80-4.24

Values from the calculation:
ΔE to the lowest computed polymorph: 0.073 eV per atom
total magnetic moment: 3.4 μB/f.u.
ΔH_f (0 K): 0.65 eV per atom
symmetry: Cmmm

***

Density functional theory data (PBE-GGA) for an optimized crystal structure of PuCu2SeO8.

Cell: 5.7779 5.7779 5.7779 Å, 113.98 113.98 100.78°
Last column: nearest neighbours and their distance in Å.
Fractional coordinates of all 12 atoms:
Pu1 0.0000 0.0000 0.0000  4 O 1.91
Cu1 0.2500 0.7500 0.5000  4 O 1.91
Cu2 0.5000 0.5000 0.0000  4 O 1.96
Se1 0.7500 0.2500 0.5000  4 O 1.84
O1 0.0571 0.3534 0.2964  1 Pu 1.91, 1 Cu 1.91
O2 0.0571 0.7607 0.7036  1 Pu 1.91, 1 Cu 1.91
O3 0.0928 0.3098 0.7830  1 Se 1.84, 1 Cu 1.96
O4 0.2393 0.9429 0.2964  1 Pu 1.91, 1 Cu 1.91
O5 0.5269 0.3098 0.2170  1 Se 1.84, 1 Cu 1.96
O6 0.6466 0.9429 0.7036  1 Pu 1.91, 1 Cu 1.91
O7 0.6902 0.4731 0.7830  1 Se 1.84, 1 Cu 1.96
O8 0.6902 0.9072 0.2170  1 Se 1.84, 1 Cu 1.96

Values from the calculation:
total magnetic moment: 0.3 μB/f.u.
symmetry: I-4m2
uncorrected formation energy: -0.894 eV/atom

***

Density functional theory data (PBE-GGA) for an optimized crystal structure of La2PrCd2Hg2.

Cell: 9.6159 9.6159 9.6159 Å, 30.40 30.40 30.40°
Last column: nearest neighbours and their distance in Å.
Fractional coordinates of all 7 atoms:
La1 0.1262 0.1262 0.1262  3 Cd 3.29, 3 Hg 3.39, 1 Pr 3.47, 3 La 3.66
La2 0.8738 0.8738 0.8738  3 Cd 3.29, 3 Hg 3.39, 1 Pr 3.47, 3 La 3.66
Pr1 0.0000 0.0000 0.0000  6 Hg 3.38, 2 La 3.47, 6 Cd 3.50
Cd1 0.2626 0.2626 0.2626  3 Hg 2.92
Cd2 0.7374 0.7374 0.7374  3 Hg 2.92
Hg1 0.3960 0.3960 0.3960  3 Cd 2.92
Hg2 0.6040 0.6040 0.6040  3 Cd 2.92

Values from the calculation:
total magnetic moment: 0.0 μB/f.u.
ΔH_f (0 K): -0.31 eV per atom
symmetry: R-3m

***

Density functional theory data (PBE-GGA) for an optimized crystal structure of AcPa3Cr4N12.

Cell: 7.1369 7.1369 7.1369 Å, 105.00 105.00 105.00°
Last column: nearest neighbours and their distance in Å.
Fractional coordinates of all 20 atoms:
Ac1 0.0000 0.0000 0.0000  6 N 2.70
Pa1 0.0000 0.5492 0.4508  6 N 2.26-2.30
Pa2 0.4508 0.0000 0.5492  6 N 2.26-2.30
Pa3 0.5492 0.4508 0.0000  6 N 2.26-2.30
Cr1 0.0508 0.5000 0.9492  3 N 1.72-1.75
Cr2 0.5000 0.5000 0.5000  3 N 1.79
Cr3 0.5000 0.9492 0.0508  3 N 1.72-1.75
Cr4 0.9492 0.0508 0.5000  3 N 1.72-1.75
N1 0.0361 0.6451 0.7903  1 Cr 1.72
N2 0.1036 0.8964 0.5000  1 Cr 1.75
N3 0.2097 0.3549 0.9639  1 Cr 1.72
N4 0.3423 0.6577 0.5000  1 Cr 1.79
N5 0.3549 0.9639 0.2097  1 Cr 1.72
N6 0.5000 0.1036 0.8964  1 Cr 1.75
N7 0.5000 0.3423 0.6577  1 Cr 1.79
N8 0.6451 0.7903 0.0361  1 Cr 1.72
N9 0.6577 0.5000 0.3423  1 Cr 1.79
N10 0.7903 0.0361 0.6451  1 Cr 1.72
N11 0.8964 0.5000 0.1036  1 Cr 1.75
N12 0.9639 0.2097 0.3549  1 Cr 1.72

Values from the calculation:
total magnetic moment: 6.0 μB/f.u.
symmetry: R32
uncorrected formation energy: -0.724 eV/atom

***

Density functional theory data (PBE-GGA) for an optimized crystal structure of LaNp5As6.

Cell: 7.1730 7.1730 7.1804 Å, 99.56 99.56 119.71°
Last column: nearest neighbours and their distance in Å.
Fractional coordinates of all 12 atoms:
La1 0.0000 0.0000 0.0000  6 As 3.01-3.02
Np1 0.1633 0.8367 0.5000  6 As 2.88-2.94
Np2 0.3327 0.6673 0.0000  6 As 2.93
Np3 0.5000 0.5000 0.5000  6 As 2.86-2.94
Np4 0.6673 0.3327 0.0000  6 As 2.93
Np5 0.8367 0.1633 0.5000  6 As 2.88-2.94
As1 0.0858 0.4291 0.2567  5 Np 2.88-2.94, 1 La 3.02
As2 0.2587 0.2587 0.7456  5 Np 2.86-2.93, 1 La 3.01
As3 0.4291 0.0858 0.2567  5 Np 2.88-2.94, 1 La 3.02
As4 0.5709 0.9142 0.7433  5 Np 2.88-2.94, 1 La 3.02
As5 0.7413 0.7413 0.2544  5 Np 2.86-2.93, 1 La 3.01
As6 0.9142 0.5709 0.7433  5 Np 2.88-2.94, 1 La 3.02

Values from the calculation:
total magnetic moment: 4.0 μB/f.u.
ΔH_f (0 K): -0.78 eV per atom
symmetry: C2/m

***

Density functional theory data (PBE-GGA) for an optimized crystal structure of POsBrO2.

Cell: 3.7852 3.7852 5.2616 Å, 90.00 90.00 90.00°
Last column: nearest neighbours and their distance in Å.
Fractional coordinates of all 5 atoms:
P1 0.0000 0.0000 0.0000  2 Os 2.63, 4 Br 2.68
Os1 0.0000 0.0000 0.5000  4 O 1.89
Br1 0.5000 0.5000 0.0000  4 P 2.68
O1 0.0000 0.5000 0.5000  2 Os 1.89
O2 0.5000 0.0000 0.5000  2 Os 1.89

Values from the calculation:
ΔE to the lowest computed polymorph: 0.000 eV per atom
total magnetic moment: 0.0 μB/f.u.
symmetry: P4/mmm
uncorrected formation energy: -0.341 eV/atom

***

Density functional theory data (PBE-GGA) for an optimized crystal structure of KRb2CuH4.

Cell: 6.9705 6.9705 6.7625 Å, 90.00 90.00 90.00°
Last column: nearest neighbours and their distance in Å.
Fractional coordinates of all 16 atoms:
K1 0.0000 0.0000 0.0000  4 H 2.74
K2 0.5000 0.5000 0.5000  4 H 2.74
Rb1 0.0000 0.5000 0.0000  4 H 2.88
Rb2 0.0000 0.5000 0.5000  4 H 2.88
Rb3 0.5000 0.0000 0.0000  4 H 2.88
Rb4 0.5000 0.0000 0.5000  4 H 2.88
Cu1 0.0000 0.0000 0.5000  4 H 1.70
Cu2 0.5000 0.5000 0.0000  4 H 1.70
H1 0.1390 0.1390 0.3507  1 Cu 1.70
H2 0.1390 0.8610 0.6493  1 Cu 1.70
H3 0.3610 0.3610 0.8507  1 Cu 1.70
H4 0.3610 0.6390 0.1493  1 Cu 1.70
H5 0.6390 0.3610 0.1493  1 Cu 1.70
H6 0.6390 0.6390 0.8507  1 Cu 1.70
H7 0.8610 0.1390 0.6493  1 Cu 1.70
H8 0.8610 0.8610 0.3507  1 Cu 1.70

Values from the calculation:
VASP energy: -41.9 eV/cell
total magnetic moment: 0.0 μB/f.u.
symmetry: I-42m

***

Density functional theory data (PBE-GGA) for an optimized crystal structure of MnPH.

Cell: 5.0667 2.9257 9.8757 Å, 90.00 99.57 90.00°
Last column: nearest neighbours and their distance in Å.
Fractional coordinates of all 12 atoms:
Mn1 0.1310 0.0000 0.3913  3 P 2.15
Mn2 0.3690 0.5000 0.6087  3 P 2.15
Mn3 0.6310 0.5000 0.3913  3 P 2.15
Mn4 0.8690 0.0000 0.6087  3 P 2.15
P1 0.0799 0.5000 0.7452  1 H 1.44
P2 0.4201 0.0000 0.2548  1 H 1.44
P3 0.5799 0.0000 0.7452  1 H 1.44
P4 0.9201 0.5000 0.2548  1 H 1.44
H1 0.1274 0.5000 0.8927  1 P 1.44
H2 0.3726 0.0000 0.1073  1 P 1.44
H3 0.6274 0.0000 0.8927  1 P 1.44
H4 0.8726 0.5000 0.1073  1 P 1.44

Values from the calculation:
VASP energy: -71.5 eV/cell
total magnetic moment: 0.0 μB/f.u.
symmetry: C2/m

***

Question: total magnetic moment of number 2 (LiLaCu2)?
Answer: 0.0 μB/f.u.